Compound: Sc2TeW
Source: the Alexandria database
Functional: GGA-PBEsol
Structure: relaxed

Cell: 3.228 3.228 10.146 Å, 80.85 80.85 60.00°
Sites, in units of the cell vectors:
Te  0.000  0.000  0.000
W  0.500  0.500  0.500
Sc  0.902  0.902  0.294
Sc  0.098  0.098  0.706

Properties
Raw formation energy = 309 meV per atom
Space group = R-3m